Compound: SrReTc
Source: the Alexandria database
Functional: PBEsol
Structure: optimized geometry

Values from the calculation:
* space group: F-43m, No. 216
* DOS(E_F): 4.4 states/eV/cell
* ΔE_f: 2876 meV/atom
* E: -5.9366 eV per atom

Cell lengths 4.487, 4.487, 4.487 Å; angles 60.00, 60.00, 60.00 degrees
Sites, in units of the cell vectors:
Sr  0.250  0.250  0.250
Re  0.500  0.500  0.500
Tc  0.000  0.000  0.000